[1]
The following is a DFT calculation (GGA-PBE) of a relaxed KMo4 crystal.

The distance to the lowest polymorph of the same formula comes out at 206.32 kJ/mol of atoms. The value obtained for the energy relative to the elements is 3.098 eV per atom. For the total magnetization, the calculation gives 0.0000 μB per atom. For the volume, the calculation gives 17.58 A^3/atom. For the final energy, the calculation gives -28.9 eV for the cell shown. The density of states at the Fermi level is 5.2 states/eV/cell.

It has space group Pm-3m (No. 221), with a = 4.446 Å, b = 4.446 Å, c = 4.446 Å, α = 90.00°, β = 90.00° and γ = 90.00°. The distinct sites, in fractional coordinates, are K at (0.000, 0.000, 0.000), Mo at (0.000, 0.000, 0.500) and Mo at (0.500, 0.500, 0.500).

***

[2]
The following is a DFT calculation (GGA-PBE) of a relaxed ScFeMo2 crystal.

The distance to the lowest polymorph of the same formula comes out at 16.02 kJ/mol of atoms. The value obtained for the energy relative to the elements is 0.232 eV per atom. For the total magnetization, the calculation gives 0.0687 μB per atom. For the volume, the calculation gives 15.76 A^3/atom. For the final energy, the calculation gives -35.5 eV for the cell shown. The density of states at the Fermi level is 5.3 states/eV/cell.

It has space group P4/mmm (No. 123), with a = 2.788 Å, b = 2.788 Å, c = 8.110 Å, α = 90.00°, β = 90.00° and γ = 90.00°. The distinct sites, in fractional coordinates, are Sc at (0.000, 0.000, 0.000), Fe at (0.000, 0.000, 0.500) and Mo at (0.500, 0.500, 0.291).

***

[3]
The following is a DFT calculation (GGA-PBE) of a relaxed La2DyBi crystal.

The distance to the lowest polymorph of the same formula comes out at 0.00 kJ/mol of atoms. The value obtained for the energy relative to the elements is -0.450 eV per atom. For the total magnetization, the calculation gives 0.0000 μB per atom. For the volume, the calculation gives 31.37 A^3/atom. For the final energy, the calculation gives -20.1 eV for the cell shown. The density of states at the Fermi level is 4.0 states/eV/cell.

It has space group P4/mmm (No. 123), with a = 4.975 Å, b = 4.975 Å, c = 5.071 Å, α = 90.00°, β = 90.00° and γ = 90.00°. The distinct sites, in fractional coordinates, are La at (0.000, 0.500, 0.000), Dy at (0.000, 0.000, 0.500) and Bi at (0.500, 0.500, 0.500).

***

[4]
The following is a DFT calculation (GGA-PBE) of a relaxed Mn3HgGe crystal.

The distance to the lowest polymorph of the same formula comes out at 0.00 kJ/mol of atoms. The value obtained for the energy relative to the elements is 0.647 eV per atom. For the total magnetization, the calculation gives 2.1515 μB per atom. For the volume, the calculation gives 20.23 A^3/atom. For the final energy, the calculation gives -29.2 eV for the cell shown. The density of states at the Fermi level is 2.0 states/eV/cell.

It has space group Pm-3m (No. 221), with a = 4.659 Å, b = 4.659 Å, c = 4.659 Å, α = 90.00°, β = 90.00° and γ = 90.00°. The distinct sites, in fractional coordinates, are Mn at (0.000, 0.000, 0.500), Hg at (0.500, 0.500, 0.500) and Ge at (0.000, 0.000, 0.000).